1.
# SrSc2O4

Crystalline SrSc2O4 at its relaxed geometry (GGA-PBEsol, the Alexandria database).

```
SrSc2O4
1.0
3.1685 0.0000 0.0000
-1.5842 5.2031 0.0000
0.0000 0.0000 10.5512
O Sc Sr
8 4 2
direct
0.2629 0.5258 0.8949
0.4358 0.8717 0.2500
0.7371 0.4742 0.1051
0.5642 0.1283 0.7500
0.0000 0.0000 0.5000
0.7371 0.4742 0.3949
0.0000 0.0000 0.0000
0.2629 0.5258 0.6051
0.3651 0.7303 0.4295
0.3651 0.7303 0.0705
0.6349 0.2697 0.9295
0.6349 0.2697 0.5705
0.8885 0.7771 0.7500
0.1115 0.2229 0.2500
```

Output
Its crystal system is orthorhombic. Its uncorrected formation energy is -3374 meV/atom. The magnetic moment is 0.0 Bohr magnetons per cell. For the excess energy over the best structure of this formula in the dataset, the calculation gives 29 meV per atom. The density of states at the Fermi level is 0.00 states/eV/cell.

2.
# TaPd3Ru

Crystalline TaPd3Ru at its relaxed geometry (GGA-PBEsol, the Alexandria database).

```
TaPd3Ru
1.0
4.6683 0.0000 0.0000
0.0000 4.6683 0.0000
0.0000 0.0000 4.6683
Ta Pd Ru
1 3 1
direct
0.0000 0.0000 0.0000
0.5000 0.0000 0.0000
0.0000 0.0000 0.5000
0.0000 0.5000 0.0000
0.5000 0.5000 0.5000
```

Output
Its crystal system is cubic. The magnetic moment is 2.0 Bohr magnetons per cell. As for the formation energy: 149.1 kJ/mol of atoms. The density of states at the Fermi level is 5.18 states/eV/cell.

3.
# K3Hg

Crystalline K3Hg at its relaxed geometry (GGA-PBEsol, the Alexandria database).

```
K3Hg
1.0
-0.7415 -0.2731 4.4142
-0.7882 -3.5459 -2.6296
11.4123 -3.7849 1.6828
K Hg
3 1
direct
0.3333 0.6667 0.1883
0.0000 0.0000 0.5000
0.3333 0.6667 0.8117
0.0000 0.0000 0.0000
```

Output
Its crystal system is hexagonal. The magnetic moment is 0.0 Bohr magnetons per cell. As for the formation energy: -3.4 kJ/mol of atoms. The density of states at the Fermi level is 3.32 states/eV/cell.

4.
# PtPb2Br

Crystalline PtPb2Br at its relaxed geometry (GGA-PBEsol, the Alexandria database).

```
PtPb2Br
1.0
-2.0810 4.0651 -2.2576
-3.5140 2.7551 2.4523
1.1311 4.6861 1.6475
Pb Br Pt
2 1 1
direct
0.2500 0.2500 0.2500
0.7500 0.7500 0.7500
0.0000 0.0000 0.0000
0.5000 0.5000 0.5000
```

Output
Its crystal system is cubic. Its uncorrected formation energy is -11 meV/atom. The magnetic moment is 0.0 Bohr magnetons per cell. For the excess energy over the best structure of this formula in the dataset, the calculation gives 319 meV per atom. The density of states at the Fermi level is 2.36 states/eV/cell.

no.,calculated volume (Å³/cell)
1,173.9
2,101.7
3,211.4
4,93.5